DFT (GGA-PBE) results for a relaxed Na3SnH crystal.

## Properties
distance to the lowest polymorph of the same formula	21.3	kJ/mol of formula units

Unit cell a=4.8024 b=4.8024 c=4.8024 alpha=90.00 beta=90.00 gamma=90.00
Last column: nearest neighbours and their distance in Å.
Space group Pm-3m (No. 221)
Symmetry-distinct sites (fractional):
1 Na 0.0000 0.0000 0.5000  2 H 2.40
2 Sn 0.5000 0.5000 0.5000  12 Na 3.40
3 H 0.0000 0.0000 0.0000  6 Na 2.40



DFT (GGA-PBE) results for a relaxed NaSnH2 crystal.

## Properties
distance to the lowest polymorph of the same formula	70.5	kJ/mol of formula units

Unit cell a=6.1291 b=6.1291 c=6.1291 alpha=90.00 beta=90.00 gamma=90.00
Last column: nearest neighbours and their distance in Å.
Space group Fm-3m (No. 225)
Symmetry-distinct sites (fractional):
1 Na 0.0000 0.0000 0.0000  8 H 2.65
2 Sn 0.0000 0.0000 0.5000  8 H 2.65
3 H 0.2500 0.2500 0.2500  4 Sn 2.65, 4 Na 2.65



DFT (GGA-PBE) results for a relaxed Na12Sn3H5 crystal.

## Properties
energy	-359.2	eV for the cell shown

Unit cell a=15.7677 b=15.7677 c=15.7677 alpha=90.00 beta=90.00 gamma=90.00
Last column: nearest neighbours and their distance in Å.
Space group Ia-3d (No. 230)
Symmetry-distinct sites (fractional):
1 Na 0.0387 0.0502 0.6482  1 H 2.25
2 Sn 0.0000 0.2500 0.1250  8 Na 3.14-3.23
3 H 0.0000 0.0000 0.0000  6 Na 2.54
4 H 0.0000 0.2500 0.3750  4 Na 2.25



DFT (GGA-PBE) results for a relaxed Na4Sn2H crystal.

## Properties
energy	-32.7	eV for the cell shown

Unit cell a=4.4629 b=4.4629 c=17.6247 alpha=90.00 beta=90.00 gamma=90.00
Last column: nearest neighbours and their distance in Å.
Space group I4/mmm (No. 139)
Symmetry-distinct sites (fractional):
1 Na 0.0000 0.0000 0.1340  1 H 2.36
2 Na 0.0000 0.5000 0.0000  2 H 2.23
3 Sn 0.0000 0.0000 0.3014  1 Na 2.95
4 H 0.0000 0.0000 0.0000  6 Na 2.23-2.36



DFT (GGA-PBE) results for a relaxed NaSn4H2 crystal.

## Properties
energy	-45.5	eV for the cell shown

Unit cell a=4.9002 b=17.5985 c=3.3864 alpha=90.00 beta=90.00 gamma=90.00
Last column: nearest neighbours and their distance in Å.
Space group Cmmm (No. 65)
Symmetry-distinct sites (fractional):
1 Na 0.0000 0.0000 0.0000  10 Sn 3.30-3.48, 2 Na 3.39
2 Sn 0.0000 0.1876 0.0000  2 H 2.45
3 Sn 0.0000 0.3980 0.5000  1 H 1.93
4 H 0.0000 0.2883 0.5000  1 Sn 1.93



DFT (GGA-PBE) results for a relaxed Na2SnH crystal.

## Properties
distance to the lowest polymorph of the same formula	216.2	kJ/mol of formula units

Unit cell a=7.2563 b=7.2563 c=7.2563 alpha=90.00 beta=90.00 gamma=90.00
Last column: nearest neighbours and their distance in Å.
Space group Fm-3m (No. 225)
Symmetry-distinct sites (fractional):
1 Na 0.2500 0.2500 0.2500  4 H 3.14, 4 Sn 3.14
2 Sn 0.0000 0.0000 0.0000  8 Na 3.14
3 H 0.0000 0.0000 0.5000  8 Na 3.14



DFT (GGA-PBE) results for a relaxed Na3Sn2H6 crystal.

## Properties
energy	-63.2	eV for the cell shown

Unit cell a=17.3999 b=4.7071 c=4.3659 alpha=90.00 beta=91.78 gamma=90.00
Last column: nearest neighbours and their distance in Å.
Space group C2/m (No. 12)
Symmetry-distinct sites (fractional):
1 Na 0.0000 0.0000 0.0000  4 Sn 3.31, 8 H 3.46-3.60, 2 Na 3.60
2 Na 0.1998 0.0000 0.2435  8 H 2.36-2.64
3 Sn 0.1021 0.5000 0.6691  3 H 1.84-1.90
4 H 0.1314 0.5000 0.2678  1 Sn 1.84
5 H 0.1839 0.2411 0.7484  1 Sn 1.90



DFT (GGA-PBE) results for a relaxed NaSnH2 crystal.

## Properties
distance to the lowest polymorph of the same formula	0.0	kJ/mol of formula units

Unit cell a=4.7127 b=4.7127 c=12.0595 alpha=90.00 beta=90.00 gamma=90.00
Last column: nearest neighbours and their distance in Å.
Space group I-42d (No. 122)
Symmetry-distinct sites (fractional):
1 Na 0.0000 0.0000 0.0000  4 H 2.43
2 Sn 0.0000 0.0000 0.5000  4 H 2.10
3 H 0.1817 0.2500 0.6250  2 Sn 2.10



DFT (GGA-PBE) results for a relaxed Na2SnH crystal.

## Properties
distance to the lowest polymorph of the same formula	51.0	kJ/mol of formula units

Unit cell a=6.6000 b=6.6000 c=8.5309 alpha=90.00 beta=90.00 gamma=90.00
Last column: nearest neighbours and their distance in Å.
Space group I-42d (No. 122)
Symmetry-distinct sites (fractional):
1 Na 0.1039 0.7500 0.1250  2 H 2.08
2 Sn 0.0000 0.0000 0.5000  4 Na 3.27
3 H 0.0000 0.0000 0.0000  4 Na 2.08



DFT (GGA-PBE) results for a relaxed Na2TcSnH6 crystal.

## Properties
energy	-37.7	eV for the cell shown

Unit cell a=4.7594 b=5.9307 c=6.0146 alpha=62.85 beta=69.18 gamma=71.01
Last column: nearest neighbours and their distance in Å.
Space group P1 (No. 1)
Symmetry-distinct sites (fractional):
1 Na 0.0000 0.0000 0.0000  5 H 2.24-2.50
2 Na 0.4055 0.5762 0.5876  3 H 2.26-2.37
3 Tc 0.7219 0.0133 0.5709  6 H 1.65-1.73
4 Sn 0.2659 0.2334 0.3010  2 H 2.02-2.18
5 H 0.3729 0.9618 0.6328  1 Tc 1.67, 1 H 1.74
6 H 0.5344 0.0364 0.8595  1 Tc 1.69, 1 H 1.89
7 H 0.6466 0.7316 0.7952  1 Tc 1.65, 2 H 1.74-1.78
8 H 0.8317 0.2535 0.5887  1 Tc 1.73
9 H 0.9041 0.7780 0.4456  1 Tc 1.72
10 H 0.9876 0.8334 0.7368  1 Tc 1.67, 1 H 1.78



DFT (GGA-PBE) results for a relaxed NaTl2SnH crystal.

## Properties
distance to the lowest polymorph of the same formula	0.0	kJ/mol of formula units

Unit cell a=5.2864 b=5.2864 c=4.2362 alpha=90.00 beta=90.00 gamma=90.00
Last column: nearest neighbours and their distance in Å.
Space group P4/mmm (No. 123)
Symmetry-distinct sites (fractional):
1 Na 0.0000 0.0000 0.0000  2 H 2.12
2 Tl 0.0000 0.5000 0.5000  2 H 2.64
3 Sn 0.5000 0.5000 0.0000  8 Tl 3.39, 4 Na 3.74
4 H 0.0000 0.0000 0.5000  2 Na 2.12



DFT (GGA-PBE) results for a relaxed Na2TlSnH crystal.

## Properties
distance to the lowest polymorph of the same formula	14.4	kJ/mol of formula units

Unit cell a=4.8488 b=4.8488 c=4.6457 alpha=90.00 beta=90.00 gamma=90.00
Last column: nearest neighbours and their distance in Å.
Space group P4/mmm (No. 123)
Symmetry-distinct sites (fractional):
1 Na 0.0000 0.5000 0.0000  2 H 2.42
2 Tl 0.0000 0.0000 0.5000  8 Na 3.36, 4 Sn 3.43
3 Sn 0.5000 0.5000 0.5000  2 H 2.32
4 H 0.5000 0.5000 0.0000  2 Sn 2.32, 4 Na 2.42